Entry from Alexandria via LeMat-Bulk: a relaxed structure of Na2PrErTe4 (PBE-GGA).

Structure (CIF):
```
data_Na2PrErTe4
_symmetry_space_group_name_H-M 'P 1 2/m 1'
_symmetry_Int_Tables_number 10
_cell_length_a 7.778
_cell_length_b 4.489
_cell_length_c 8.008
_cell_angle_alpha 90.00
_cell_angle_beta 108.87
_cell_angle_gamma 90.00
loop_
_symmetry_equiv_pos_as_xyz
'x,y,z'
'-x,-y,-z'
'-x,y,-z'
'x,-y,z'
loop_
_atom_site_label
_atom_site_type_symbol
_atom_site_fract_x
_atom_site_fract_y
_atom_site_fract_z
Na1 Na 0.000 0.000 0.000
Na2 Na 0.500 0.500 0.000
Pr1 Pr 0.000 0.500 0.500
Er1 Er 0.500 0.000 0.500
Te1 Te 0.256 0.000 0.738
Te2 Te 0.266 0.500 0.268
```

## Properties
E_tot: -0.3219 Ry/atom
Formation energy without anion corrections: -1311 meV/atom
ρ: 5.4 g cm⁻³

Entry from Alexandria via LeMat-Bulk: a relaxed structure of NaPr2ErTe4 (PBE-GGA).

Structure (CIF):
```
data_NaPr2ErTe4
_symmetry_space_group_name_H-M 'P 1 2/m 1'
_symmetry_Int_Tables_number 10
_cell_length_a 7.742
_cell_length_b 4.437
_cell_length_c 7.784
_cell_angle_alpha 90.00
_cell_angle_beta 108.89
_cell_angle_gamma 90.00
loop_
_symmetry_equiv_pos_as_xyz
'x,y,z'
'-x,-y,-z'
'-x,y,-z'
'x,-y,z'
loop_
_atom_site_label
_atom_site_type_symbol
_atom_site_fract_x
_atom_site_fract_y
_atom_site_fract_z
Na1 Na 0.000 0.000 0.000
Pr1 Pr 0.000 0.500 0.500
Pr2 Pr 0.500 0.000 0.500
Er1 Er 0.500 0.500 0.000
Te1 Te 0.251 0.500 0.239
Te2 Te 0.258 0.000 0.765
```

## Properties
E_tot: -0.3562 Ry/atom
Formation energy without anion corrections: -1346 meV/atom
ρ: 6.4 g cm⁻³

Entry from Alexandria via LeMat-Bulk: a relaxed structure of NaPr3Er2Te6 (PBE-GGA).

Structure (CIF):
```
data_NaPr3Er2Te6
_symmetry_space_group_name_H-M 'C 1 2/m 1'
_symmetry_Int_Tables_number 12
_cell_length_a 19.527
_cell_length_b 4.420
_cell_length_c 8.977
_cell_angle_alpha 90.00
_cell_angle_beta 103.95
_cell_angle_gamma 90.00
loop_
_symmetry_equiv_pos_as_xyz
'x,y,z'
'-x,-y,-z'
'-x,y,-z'
'x,-y,z'
'x+1/2,y+1/2,z'
'-x+1/2,-y+1/2,-z'
'-x+1/2,y+1/2,-z'
'x+1/2,-y+1/2,z'
loop_
_atom_site_label
_atom_site_type_symbol
_atom_site_fract_x
_atom_site_fract_y
_atom_site_fract_z
Na1 Na 0.000 0.000 0.000
Pr1 Pr 0.000 0.000 0.500
Pr2 Pr 0.159 0.500 0.821
Er1 Er 0.165 0.500 0.337
Te1 Te 0.007 0.500 0.245
Te2 Te 0.169 0.000 0.094
Te3 Te 0.171 0.000 0.574
```

## Properties
E_tot: -0.3661 Ry/atom
Formation energy without anion corrections: -1345 meV/atom
ρ: 6.8 g cm⁻³

Entry from Alexandria via LeMat-Bulk: a relaxed structure of Na2Pr3ErTe6 (PBE-GGA).

Structure (CIF):
```
data_Na2Pr3ErTe6
_symmetry_space_group_name_H-M 'C 1 2/m 1'
_symmetry_Int_Tables_number 12
_cell_length_a 7.781
_cell_length_b 13.461
_cell_length_c 7.818
_cell_angle_alpha 90.00
_cell_angle_beta 109.26
_cell_angle_gamma 90.00
loop_
_symmetry_equiv_pos_as_xyz
'x,y,z'
'-x,-y,-z'
'-x,y,-z'
'x,-y,z'
'x+1/2,y+1/2,z'
'-x+1/2,-y+1/2,-z'
'-x+1/2,y+1/2,-z'
'x+1/2,-y+1/2,z'
loop_
_atom_site_label
_atom_site_type_symbol
_atom_site_fract_x
_atom_site_fract_y
_atom_site_fract_z
Na1 Na 0.000 0.165 0.000
Pr1 Pr 0.000 0.000 0.500
Pr2 Pr 0.000 0.329 0.500
Er1 Er 0.000 0.500 0.000
Te1 Te 0.243 0.337 0.239
Te2 Te 0.243 0.500 0.754
```

## Properties
E_tot: -0.3462 Ry/atom
Formation energy without anion corrections: -1345 meV/atom
ρ: 6.0 g cm⁻³

Entry from Alexandria via LeMat-Bulk: a relaxed structure of Na4PrEr3Te8 (PBE-GGA).

Structure (CIF):
```
data_Na4PrEr3Te8
_symmetry_space_group_name_H-M 'R -3 m'
_symmetry_Int_Tables_number 166
_symmetry_space_group_name_Hall '-R 3 2"'
_cell_length_a 8.8916
_cell_length_b 8.8916
_cell_length_c 22.7058
_cell_angle_alpha 90.00
_cell_angle_beta 90.00
_cell_angle_gamma 120.00
loop_
_atom_site_label
_atom_site_type_symbol
_atom_site_fract_x
_atom_site_fract_y
_atom_site_fract_z
Na1 Na 0.0000 0.0000 0.0000
Na2 Na 0.0000 0.5000 0.0000
Pr1 Pr 0.0000 0.0000 0.5000
Er1 Er 0.0000 0.5000 0.5000
Te1 Te 0.0000 0.0000 0.2429
Te2 Te 0.0096 0.5048 0.7554
```

## Properties
E_tot: -0.3205 Ry/atom
Formation energy without anion corrections: -1305 meV/atom
ρ: 5.6 g cm⁻³

Entry from Alexandria via LeMat-Bulk: a relaxed structure of NaPrErTl (PBE-GGA).

Structure (CIF):
```
data_NaPrErTl
_symmetry_space_group_name_H-M 'F -4 3 m'
_symmetry_Int_Tables_number 216
_symmetry_space_group_name_Hall 'F -4 2 3'
_cell_length_a 7.761
_cell_length_b 7.761
_cell_length_c 7.761
_cell_angle_alpha 90.00
_cell_angle_beta 90.00
_cell_angle_gamma 90.00
loop_
_atom_site_label
_atom_site_type_symbol
_atom_site_fract_x
_atom_site_fract_y
_atom_site_fract_z
Na1 Na 0.000 0.000 0.000
Pr1 Pr 0.250 0.250 0.750
Er1 Er 0.250 0.250 0.250
Tl1 Tl 0.000 0.000 0.500
```

## Properties
E_tot: -0.2440 Ry/atom
E_form: -63 meV per atom
ρ: 7.6 g cm⁻³

Entry from Alexandria via LeMat-Bulk: a relaxed structure of NaPrEr2Tl4 (PBE-GGA).

Structure (CIF):
```
data_NaPrEr2Tl4
_symmetry_space_group_name_H-M 'R -3 m'
_symmetry_Int_Tables_number 166
_symmetry_space_group_name_Hall '-R 3 2"'
_cell_length_a 5.3512
_cell_length_b 5.3512
_cell_length_c 26.8475
_cell_angle_alpha 90.00
_cell_angle_beta 90.00
_cell_angle_gamma 120.00
loop_
_atom_site_label
_atom_site_type_symbol
_atom_site_fract_x
_atom_site_fract_y
_atom_site_fract_z
Na1 Na 0.0000 0.0000 0.0000
Pr1 Pr 0.0000 0.0000 0.5000
Er1 Er 0.0000 0.0000 0.2536
Tl1 Tl 0.0000 0.0000 0.1221
Tl2 Tl 0.0000 0.0000 0.3728
```

## Properties
E_tot: -0.2476 Ry/atom
E_form: -282 meV per atom
ρ: 9.8 g cm⁻³

Entry from Alexandria via LeMat-Bulk: a relaxed structure of NaErPt4 (PBE-GGA).

Structure (CIF):
```
data_NaErPt4
_symmetry_space_group_name_H-M 'F -4 3 m'
_symmetry_Int_Tables_number 216
_symmetry_space_group_name_Hall 'F -4 2 3'
_cell_length_a 7.611
_cell_length_b 7.611
_cell_length_c 7.611
_cell_angle_alpha 90.00
_cell_angle_beta 90.00
_cell_angle_gamma 90.00
loop_
_atom_site_label
_atom_site_type_symbol
_atom_site_fract_x
_atom_site_fract_y
_atom_site_fract_z
Na1 Na 0.000 0.000 0.000
Er1 Er 0.250 0.250 0.250
Pt1 Pt 0.125 0.125 0.625
```

## Properties
E_tot: -0.4274 Ry/atom
E_form: -807 meV per atom
ρ: 14.6 g cm⁻³

Entry from Alexandria via LeMat-Bulk: a relaxed structure of Na3Er2PuS6 (PBE-GGA).

Structure (CIF):
```
data_Na3Er2PuS6
_symmetry_space_group_name_H-M 'C 1 2/m 1'
_symmetry_Int_Tables_number 12
_cell_length_a 6.915
_cell_length_b 11.976
_cell_length_c 7.044
_cell_angle_alpha 90.00
_cell_angle_beta 109.10
_cell_angle_gamma 90.00
loop_
_symmetry_equiv_pos_as_xyz
'x,y,z'
'-x,-y,-z'
'-x,y,-z'
'x,-y,z'
'x+1/2,y+1/2,z'
'-x+1/2,-y+1/2,-z'
'-x+1/2,y+1/2,-z'
'x+1/2,-y+1/2,z'
loop_
_atom_site_label
_atom_site_type_symbol
_atom_site_fract_x
_atom_site_fract_y
_atom_site_fract_z
Na1 Na 0.000 0.000 0.000
Na2 Na 0.000 0.333 0.000
Er1 Er 0.000 0.167 0.500
Pu1 Pu 0.000 0.500 0.500
S1 S 0.236 0.000 0.726
S2 S 0.245 0.331 0.726
```

## Properties
E_tot: -0.4468 Ry/atom
Formation energy without anion corrections: -1731 meV/atom
ρ: 5.1 g cm⁻³

Entry from Alexandria via LeMat-Bulk: a relaxed structure of Na3ErPu3S8 (PBE-GGA).

Structure (CIF):
```
data_Na3ErPu3S8
_symmetry_space_group_name_H-M 'C 1 2/m 1'
_symmetry_Int_Tables_number 12
_cell_length_a 13.892
_cell_length_b 8.013
_cell_length_c 8.115
_cell_angle_alpha 90.00
_cell_angle_beta 125.04
_cell_angle_gamma 90.00
loop_
_symmetry_equiv_pos_as_xyz
'x,y,z'
'-x,-y,-z'
'-x,y,-z'
'x,-y,z'
'x+1/2,y+1/2,z'
'-x+1/2,-y+1/2,-z'
'-x+1/2,y+1/2,-z'
'x+1/2,-y+1/2,z'
loop_
_atom_site_label
_atom_site_type_symbol
_atom_site_fract_x
_atom_site_fract_y
_atom_site_fract_z
Na1 Na 0.000 0.000 0.000
Na2 Na 0.250 0.250 0.000
Er1 Er 0.000 0.500 0.500
Pu1 Pu 0.000 0.000 0.500
Pu2 Pu 0.250 0.250 0.500
S1 S 0.009 0.249 0.282
S2 S 0.238 0.000 0.717
S3 S 0.241 0.500 0.726
```

## Properties
E_tot: -0.5320 Ry/atom
Formation energy without anion corrections: -1602 meV/atom
ρ: 5.5 g cm⁻³

Entry from Alexandria via LeMat-Bulk: a relaxed structure of Na3Er3PuS8 (PBE-GGA).

Structure (CIF):
```
data_Na3Er3PuS8
_symmetry_space_group_name_H-M 'R -3 m'
_symmetry_Int_Tables_number 166
_symmetry_space_group_name_Hall '-R 3 2"'
_cell_length_a 7.9099
_cell_length_b 7.9099
_cell_length_c 20.1400
_cell_angle_alpha 90.00
_cell_angle_beta 90.00
_cell_angle_gamma 120.00
loop_
_atom_site_label
_atom_site_type_symbol
_atom_site_fract_x
_atom_site_fract_y
_atom_site_fract_z
Na1 Na 0.0000 0.5000 0.0000
Er1 Er 0.0000 0.5000 0.5000
Pu1 Pu 0.0000 0.0000 0.5000
S1 S 0.0000 0.0000 0.2415
S2 S 0.0038 0.5019 0.2396
```

## Properties
E_tot: -0.4465 Ry/atom
Formation energy without anion corrections: -1742 meV/atom
ρ: 4.9 g cm⁻³